# 1
A relaxed structure of Rb2NdInSe4, computed with PBE.

Cell lengths 8.783, 9.003, 12.757 Å; angles 90.00, 90.00, 90.00 degrees
Space group Imma (No. 74)
Inequivalent atoms, fractional coordinates:
Rb 0.000 0.000 0.000
Rb 0.250 0.250 0.250
Nd 0.000 0.000 0.500
In 0.250 0.250 0.750
Se 0.000 0.043 0.738
Se 0.223 0.250 0.517

ΔE_f (raw)   -1.193 eV per atom

# 2
A relaxed structure of Ba3LaSb, computed with PBE.

Cell lengths 6.162, 6.162, 6.162 Å; angles 90.00, 90.00, 90.00 degrees
Space group Pm-3m (No. 221)
Inequivalent atoms, fractional coordinates:
Ba 0.000 0.000 0.500
La 0.000 0.000 0.000
Sb 0.500 0.500 0.500

ΔE_f (raw)   0.444 eV per atom

# 3
A relaxed structure of AgAu3, computed with PBE.

Cell lengths 4.149, 4.149, 8.353 Å; angles 90.00, 90.00, 90.00 degrees
Space group I4/mmm (No. 139)
Inequivalent atoms, fractional coordinates:
Ag 0.000 0.000 0.000
Au 0.000 0.000 0.500
Au 0.000 0.500 0.250

ΔE to the lowest computed polymorph   0 meV/atom
ΔE_f   -13 kJ/mol of formula units

# 4
A relaxed structure of Y2NbP2, computed with PBE.

Cell lengths 6.990, 6.990, 4.022 Å; angles 90.00, 90.00, 90.00 degrees
Space group P4/mbm (No. 127)
Inequivalent atoms, fractional coordinates:
Y 0.169 0.331 0.000
Nb 0.000 0.000 0.500
P 0.141 0.641 0.500

ΔE_f   -503 kJ/mol of formula units

# 5
A relaxed structure of ThPaMnTc, computed with PBE.

Cell lengths 6.971, 6.971, 6.971 Å; angles 90.00, 90.00, 90.00 degrees
Space group F-43m (No. 216)
Inequivalent atoms, fractional coordinates:
Th 0.000 0.000 0.000
Pa 0.000 0.000 0.500
Mn 0.250 0.250 0.250
Tc 0.250 0.250 0.750

ΔE_f   48 kJ/mol of formula units

# 6
A relaxed structure of ScTa2Nb, computed with PBE.

Cell lengths 7.526, 7.526, 5.682 Å; angles 90.00, 90.00, 90.00 degrees
Space group I-42d (No. 122)
Inequivalent atoms, fractional coordinates:
Sc 0.000 0.000 0.000
Ta 0.239 0.250 0.625
Nb 0.000 0.000 0.500

ΔE to the lowest computed polymorph   581 meV/atom
ΔE_f   279 kJ/mol of formula units